The following is a PBE-GGA calculation of crystalline CrHg2Ir at its relaxed geometry, from the Alexandria database.

```
4
Lattice="5.096 0.190 0.000 1.601 4.842 0.000 -3.348 -2.516 2.910" Properties=species:S:1:pos:R:3 pbc="T T T"
Cr 2.548 0.095 1.455
Hg 0.000 0.000 0.000
Hg 0.800 2.421 1.455
Ir 3.348 2.516 0.000
```

## Properties
ΔE_f: 46 kJ/mol of atoms
space group: No. 119
mass density: 15.11 g/cm³

=====

The following is a PBE-GGA calculation of crystalline NaCa2Y2 at its relaxed geometry, from the Alexandria database.

```
5
Lattice="4.557 0.000 0.000 0.000 4.557 0.000 2.278 2.278 9.189" Properties=species:S:1:pos:R:3 pbc="T T T"
Y 2.278 2.278 1.659
Y 4.557 4.557 7.530
Na 0.000 0.000 0.000
Ca 4.557 2.278 4.594
Ca 2.278 4.557 4.594
```

## Properties
ΔE_f: 53 kJ/mol of atoms
space group: No. 139
mass density: 2.45 g/cm³

=====

The following is a PBE-GGA calculation of crystalline SnSBr2 at its relaxed geometry, from the Alexandria database.

```
8
Lattice="-6.181 5.240 -2.219 -5.138 -6.547 -1.149 -6.659 -0.445 1.594" Properties=species:S:1:pos:R:3 pbc="T T T"
S -5.659 -0.654 -1.684
S -8.728 -3.823 -0.620
Sn 0.000 0.000 0.000
Sn -9.249 2.071 -1.155
Br -6.331 2.482 -1.190
Br -5.487 -3.685 -0.539
Br -9.105 -0.653 -0.038
Br -15.032 -1.648 -1.782
```

## Properties
formation energy without anion corrections: 0.145 eV per atom
space group: No. 122
mass density: 4.26 g/cm³

=====

The following is a PBE-GGA calculation of crystalline Li2YMgCd at its relaxed geometry, from the Alexandria database.

```
5
Lattice="4.891 0.000 0.000 0.000 5.136 0.000 0.000 0.000 4.891" Properties=species:S:1:pos:R:3 pbc="T T T"
Y 2.445 2.568 2.445
Mg 0.000 0.000 0.000
Li 0.000 0.000 2.445
Li 2.445 0.000 0.000
Cd 0.000 2.568 0.000
```

## Properties
ΔE_f: 24 kJ/mol of atoms
space group: No. 123
mass density: 3.24 g/cm³

=====

The following is a PBE-GGA calculation of crystalline LiYZnGe2 at its relaxed geometry, from the Alexandria database.

```
5
Lattice="4.086 0.000 0.000 0.000 4.086 0.000 -2.043 -2.043 5.566" Properties=species:S:1:pos:R:3 pbc="T T T"
Li 2.043 0.000 2.783
Y 0.000 0.000 0.000
Zn 0.000 2.043 2.783
Ge 2.043 2.043 1.246
Ge 0.000 0.000 4.321
```

## Properties
ΔE_f: -49 kJ/mol of atoms
space group: No. 119
mass density: 5.48 g/cm³

=====

The following is a PBE-GGA calculation of crystalline Pm2SmAg2Ge2 at its relaxed geometry, from the Alexandria database.

```
7
Lattice="4.585 0.000 0.000 2.292 3.970 0.000 2.292 1.323 9.383" Properties=species:S:1:pos:R:3 pbc="T T T"
Pm 2.292 1.323 5.813
Pm 6.877 3.970 3.570
Sm 0.000 0.000 0.000
Ag 4.585 2.647 1.795
Ag 4.585 2.647 7.588
Ge 6.877 3.970 7.369
Ge 2.292 1.323 2.015
```

## Properties
ΔE_f: -41 kJ/mol of atoms
space group: No. 166
mass density: 7.79 g/cm³

=====

The following is a PBE-GGA calculation of crystalline LaBeS2Cl at its relaxed geometry, from the Alexandria database.

```
5
Lattice="-3.846 -2.181 -1.361 2.328 -3.993 -0.179 -1.030 -0.787 4.171" Properties=species:S:1:pos:R:3 pbc="T T T"
Be 0.000 0.000 0.000
S 1.164 -1.997 -0.089
S -1.923 -1.091 -0.680
Cl -0.515 -0.394 2.085
La -1.273 -3.481 1.316
```

## Properties
formation energy without anion corrections: -1.349 eV per atom
space group: No. 123
mass density: 4.40 g/cm³

=====

The following is a PBE-GGA calculation of crystalline Ca6AlIn5 at its relaxed geometry, from the Alexandria database.

```
12
Lattice="5.134 -0.031 1.711 0.041 7.667 0.014 -0.007 -0.015 8.579" Properties=species:S:1:pos:R:3 pbc="T T T"
Ca 4.317 5.741 4.264
Ca 4.296 1.866 4.257
Ca 2.577 1.865 0.859
Ca 2.598 5.771 0.866
Ca 0.872 5.756 6.046
Ca 0.851 1.881 6.039
Al 0.000 0.000 0.000
In 3.441 3.803 6.858
In 1.709 -0.015 3.430
In 0.021 3.834 0.007
In 3.418 -0.031 6.859
In 1.727 3.818 3.445
```

## Properties
ΔE_f: -41 kJ/mol of atoms
space group: No. 65
mass density: 4.14 g/cm³

=====

| no. | V (A^3/atom) | total DFT energy (no corrections) (eV/atom) | size of the total moment (μB per formula unit) |
| --- | --- | --- | --- |
| 1 | 17.73 | -4.295 | 3.77 |
| 2 | 38.16 | -3.098 | 1.11 |
| 3 | 30.29 | -2.724 | 2.00 |
| 4 | 24.57 | -2.312 | 0.00 |
| 5 | 18.59 | -4.283 | 0.00 |
| 6 | 24.40 | -4.594 | 0.00 |
| 7 | 18.69 | -5.100 | 0.00 |
| 8 | 28.15 | -2.873 | 0.00 |